{"formula": "CaF", "functional": "PBE", "state": "optimized geometry", "lattice": [[6.672, 0.000, 0.000], [0.000, 6.672, 0.000], [0.000, 0.000, 6.672]], "species": ["Ca", "Ca", "Ca", "Ca", "Ca", "F", "F", "F", "F", "F", "F", "Ca"], "frac_coords": [[0.000, 0.500, 0.250], [0.500, 0.750, 0.000], [0.000, 0.500, 0.750], [0.750, 0.000, 0.500], [0.250, 0.000, 0.500], [0.500, 0.000, 0.750], [0.000, 0.250, 0.500], [0.500, 0.000, 0.250], [0.250, 0.500, 0.000], [0.000, 0.750, 0.500], [0.750, 0.500, 0.000], [0.500, 0.250, 0.000]], "raw_formation_energy_ev_per_atom": -2.576, "e_tot_ev_per_atom": -4.51}